Entry from Alexandria via LeMat-Bulk: Ac2Tc2MoN6 after structural relaxation (GGA-PBE).

```
Ac2Tc2MoN6
1.0
-5.890 -0.509 -1.111
-3.047 -4.765 2.050
-4.075 0.917 4.901
Tc Ac N Mo
2 2 6 1
direct
0.430 0.430 0.709
0.570 0.570 0.291
0.778 0.778 0.665
0.222 0.222 0.335
0.768 0.768 0.225
0.761 0.232 0.775
0.239 0.768 0.225
0.232 0.761 0.775
0.768 0.239 0.225
0.232 0.232 0.775
0.000 0.000 0.000
```

**SG**: R-3m (166)
**D(E_F)**: 0.354 states/eV per atom
**Uncorrected formation energy**: -0.454 eV per atom
**E**: -8.61 eV per atom